SrIn2Hg2, relaxed, DFT PBE; total moment = 0.00 μB per formula unit; ΔE_f = -0.217 eV per atom; density of states at the Fermi level = 3.2 states/eV/f.u.
1.0
8.478 0.000 0.000
0.000 8.478 0.000
0.000 0.000 4.040
Sr In Hg
2 4 4
Cartesian
0.000 0.000 0.000
4.239 4.239 0.000
1.412 2.827 2.020
2.827 7.066 2.020
5.651 1.412 2.020
7.066 5.651 2.020
1.113 5.352 0.000
3.126 1.113 0.000
5.352 7.365 0.000
7.365 3.126 0.000